This record from the Alexandria database describes a relaxed Pm2FeBiO6 crystal. The functional is PBE with a Hubbard U.

Cell lengths 5.4283, 5.4283, 5.4283 Å; angles 90.00, 90.00, 90.00 degrees
Fractional positions:
Pm 0.0000 0.5000 0.0000
Pm 0.5000 0.0000 0.0000
Fe 0.0000 0.0000 0.6026
Bi 0.5000 0.5000 0.5649
O 0.0000 0.0000 0.2528
O 0.2373 0.2373 0.7559
O 0.2373 0.7627 0.7559
O 0.5000 0.5000 0.1420
O 0.7627 0.2373 0.7559
O 0.7627 0.7627 0.7559

## Properties
Magnetic moment in μB per cell: 4.995
Calculated total energy in eV/atom: -7.055
V in Å³/atom: 15.995

This record from the Alexandria database describes a relaxed PmFeBiO4 crystal. The functional is PBE with a Hubbard U.

Cell lengths 5.8698, 5.8698, 7.3671 Å; angles 90.00, 90.00, 116.66 degrees
Fractional positions:
Pm 0.0000 0.0000 0.0000
Pm 0.0000 0.0000 0.5000
Fe 0.3330 0.6670 0.7500
Fe 0.6670 0.3330 0.2500
Bi 0.3385 0.6615 0.2500
Bi 0.6615 0.3385 0.7500
O 0.2316 0.7684 0.5254
O 0.2316 0.7684 0.9746
O 0.2492 0.2647 0.7500
O 0.2647 0.2492 0.2500
O 0.7353 0.7508 0.7500
O 0.7508 0.7353 0.2500
O 0.7684 0.2316 0.0254
O 0.7684 0.2316 0.4746

## Properties
Magnetic moment in μB per cell: 8.001
Calculated total energy in eV/atom: -6.795
V in Å³/atom: 16.203

This record from the Alexandria database describes a relaxed Pr2FeBiO6 crystal. The functional is PBE with a Hubbard U.

Cell lengths 5.4864, 5.4864, 5.4057 Å; angles 90.00, 90.00, 90.00 degrees
Fractional positions:
Pr 0.0000 0.5000 0.0000
Pr 0.5000 0.0000 0.0000
Fe 0.0000 0.0000 0.5964
Bi 0.5000 0.5000 0.5618
O 0.0000 0.0000 0.2448
O 0.2367 0.2367 0.7455
O 0.2367 0.7633 0.7455
O 0.5000 0.5000 0.1360
O 0.7633 0.2367 0.7455
O 0.7633 0.7633 0.7455

## Properties
Magnetic moment in μB per cell: 4.995
Calculated total energy in eV/atom: -7.047
V in Å³/atom: 16.271

This record from the Alexandria database describes a relaxed FeBi2PtO crystal. The functional is PBE with a Hubbard U.

Cell lengths 4.9882, 4.9882, 4.1460 Å; angles 90.00, 90.00, 90.00 degrees
Fractional positions:
Fe 0.0000 0.0000 0.0000
Bi 0.0000 0.5000 0.5000
Bi 0.5000 0.0000 0.5000
Pt 0.5000 0.5000 0.0000
O 0.5000 0.5000 0.5000

## Properties
Magnetic moment in μB per cell: 3.425
Calculated total energy in eV/atom: -4.473
V in Å³/atom: 20.632